Computed, not measured: an optimized crystal structure of PrSm2In3Cu3 at the GGA-PBE level of DFT.

Properties
- energy (eV/atom) = -4.12

Cell: 4.0399 13.1220 7.5881 Å, 90.00 90.00 90.00°
With the nearest neighbours (Å) after each atom.
Space group Amm2 (No. 38)
Asymmetric unit:
1 Pr 0.0000 0.0000 0.0000 [2 per cell]  5 Cu 3.06-3.15, 6 In 3.27-3.42
2 Sm 0.0000 0.2066 0.6202 [4 per cell]  5 Cu 3.04-3.13, 6 In 3.25-3.40
3 In 0.5000 0.0000 0.6618 [2 per cell]  4 Cu 2.75-2.92
4 In 0.5000 0.1258 0.2909 [4 per cell]  4 Cu 2.77-2.92
5 Cu 0.0000 0.0000 0.4152 [2 per cell]  6 In 2.75-2.77
6 Cu 0.5000 0.1684 0.9135 [4 per cell]  3 In 2.86-2.92, 4 Sm 3.04-3.05, 2 Pr 3.06